Compound: Ca5Pt
Source: the Alexandria database
Functional: meta-GGA SCAN
Structure: PBEsol geometry

a = 6.6869 Å, b = 6.6869 Å, c = 9.1557 Å
α = 112.87°, β = 112.87°, γ = 31.89°
Atoms (fractional coordinates):
Ca1 0.0000 0.0000 0.0000
Ca2 0.3321 0.3321 0.2235
Ca3 0.3807 0.3807 0.6190
Ca4 0.6193 0.6193 0.3810
Ca5 0.6679 0.6679 0.7765
Pt1 0.0000 0.0000 0.5000

Energy of formation from the pure elements in eV per atom: -0.3706
Symmetry: C2/m
Energy in eV per atom: -20.1223

=====

Compound: K2YHg
Source: the Alexandria database
Functional: meta-GGA SCAN
Structure: PBEsol geometry

a = 12.1582 Å, b = 12.1582 Å, c = 12.1582 Å
α = 19.07°, β = 19.07°, γ = 19.07°
Atoms (fractional coordinates):
K1 0.0000 0.0000 0.0000
K2 0.2192 0.2192 0.2192
Y1 0.7633 0.7633 0.7633
Hg1 0.4817 0.4817 0.4817

Energy of formation from the pure elements in eV per atom: -0.0174
Symmetry: R3m
Energy in eV per atom: -28.1839